Computed, not measured: TbTlCdAg after structural relaxation at the PBE level of DFT.

## Properties
As for the total energy: -2.917 eV/atom. The value obtained for the density of states at the Fermi level is 11.37 states/eV/cell. The calculation puts the formation enthalpy at 0 K at -0.227 eV/atom. The value obtained for the mass density is 10.373 g cm⁻³.

abc: 7.2028 7.2028 7.2028
angles: 90.00 90.00 90.00
Space group F-43m (No. 216)
Symmetry-distinct sites (fractional):
1 Tb 0.0000 0.0000 0.0000 x4
2 Tl 0.2500 0.2500 0.7500 x4
3 Cd 0.0000 0.0000 0.5000 x4
4 Ag 0.2500 0.2500 0.2500 x4